No. 1
BaAl2CoP at its PBEsol-relaxed geometry, computed with meta-GGA SCAN.

Unit cell a=4.602 b=4.602 c=4.615 alpha=90.00 beta=90.00 gamma=90.00
Atoms (fractional coordinates):
Ba  0.000  0.000  0.000
Al  0.000  0.500  0.500
Al  0.500  0.000  0.500
Co  0.500  0.500  0.500
P  0.500  0.500  0.000

Output
Total energy, eV/atom: -16.70
DOS at the Fermi energy, states/eV per cell: 3.169
Space-group type: P4/mmm (123)
Calculated volume, Å³/f.u.: 97.7



No. 2
Cs2Au2Se3 at its PBEsol-relaxed geometry, computed with meta-GGA SCAN.

Unit cell a=8.203 b=8.203 c=7.227 alpha=90.16 beta=90.16 gamma=109.49
Atoms (fractional coordinates):
Cs  0.124  0.336  0.369
Cs  0.336  0.124  0.869
Cs  0.664  0.876  0.131
Cs  0.876  0.664  0.631
Au  0.225  0.631  0.954
Au  0.369  0.775  0.546
Au  0.631  0.225  0.454
Au  0.775  0.369  0.046
Se  0.046  0.722  0.168
Se  0.278  0.954  0.332
Se  0.430  0.570  0.750
Se  0.570  0.430  0.250
Se  0.722  0.046  0.668
Se  0.954  0.278  0.832

Output
Total energy, eV/atom: -39.98
DOS at the Fermi energy, states/eV per cell: 0.000
E_form (uncorrected), eV per atom: -0.808
Space-group type: C2/c (15)
Calculated volume, Å³/f.u.: 229.2



No. 3
Li11V6O5F19 at its PBEsol-relaxed geometry, computed with meta-GGA SCAN.

Unit cell a=4.940 b=5.368 c=15.867 alpha=81.83 beta=89.15 gamma=88.42
Atoms (fractional coordinates):
Li  0.000  0.000  0.000
Li  0.000  0.134  0.547
Li  0.003  0.112  0.304
Li  0.017  0.691  0.667
Li  0.448  0.460  0.003
Li  0.481  0.136  0.672
Li  0.502  0.330  0.219
Li  0.509  0.980  0.882
Li  0.515  0.612  0.554
Li  0.953  0.698  0.230
Li  0.969  0.439  0.886
V  0.467  0.888  0.111
V  0.492  0.561  0.777
V  0.522  0.250  0.443
V  0.968  0.383  0.107
V  0.993  0.063  0.775
V  0.994  0.710  0.447
O  0.254  0.179  0.073
O  0.287  0.861  0.744
O  0.689  0.599  0.138
O  0.703  0.266  0.803
O  0.798  0.432  0.475
F  0.127  0.379  0.223
F  0.144  0.082  0.890
F  0.162  0.744  0.558
F  0.183  0.058  0.415
F  0.185  0.687  0.058
F  0.197  0.374  0.726
F  0.277  0.874  0.219
F  0.314  0.557  0.403
F  0.327  0.554  0.892
F  0.352  0.251  0.559
F  0.638  0.906  0.993
F  0.655  0.255  0.326
F  0.660  0.576  0.661
F  0.698  0.922  0.492
F  0.749  0.090  0.160
F  0.790  0.751  0.825
F  0.814  0.376  0.993
F  0.849  0.049  0.659
F  0.863  0.786  0.333

Output
Total energy, eV/atom: -8.62
DOS at the Fermi energy, states/eV per cell: 4.393
E_form (uncorrected), eV per atom: -3.016
Space-group type: P1 (1)
Calculated volume, Å³/f.u.: 416.3



No. 4
In2Ni2Br at its PBEsol-relaxed geometry, computed with meta-GGA SCAN.

Unit cell a=4.179 b=4.179 c=11.018 alpha=90.00 beta=90.00 gamma=90.00
Atoms (fractional coordinates):
In  0.000  0.500  0.250
In  0.000  0.500  0.750
In  0.500  0.000  0.250
In  0.500  0.000  0.750
Ni  0.000  0.000  0.108
Ni  0.000  0.000  0.892
Ni  0.500  0.500  0.392
Ni  0.500  0.500  0.608
Br  0.000  0.000  0.500
Br  0.500  0.500  0.000

Output
Total energy, eV/atom: -23.43
DOS at the Fermi energy, states/eV per cell: 6.080
E_form (uncorrected), eV per atom: 0.282
Space-group type: I4/mmm (139)
Calculated volume, Å³/f.u.: 96.2



No. 5
KCrAu2 at its PBEsol-relaxed geometry, computed with meta-GGA SCAN.

Unit cell a=4.521 b=5.291 c=7.284 alpha=90.00 beta=90.00 gamma=90.00
Atoms (fractional coordinates):
K  0.000  0.000  0.000
K  0.500  0.500  0.500
Cr  0.000  0.000  0.500
Cr  0.500  0.500  0.000
Au  0.000  0.500  0.210
Au  0.000  0.500  0.790
Au  0.500  0.000  0.290
Au  0.500  0.000  0.710

Output
Total energy, eV/atom: -41.16
DOS at the Fermi energy, states/eV per cell: 3.179
Space-group type: Immm (71)
Calculated volume, Å³/f.u.: 87.1
Energy above the most stable polymorph in this dataset, eV per atom: 0.067



No. 6
AlTl2Ni at its PBEsol-relaxed geometry, computed with meta-GGA SCAN.

Unit cell a=4.366 b=4.366 c=8.094 alpha=90.00 beta=90.00 gamma=90.00
Atoms (fractional coordinates):
Al  0.000  0.000  0.000
Al  0.500  0.500  0.500
Tl  0.000  0.500  0.250
Tl  0.000  0.500  0.750
Tl  0.500  0.000  0.250
Tl  0.500  0.000  0.750
Ni  0.000  0.000  0.500
Ni  0.500  0.500  0.000

Output
Total energy, eV/atom: -41.69
DOS at the Fermi energy, states/eV per cell: 5.142
Space-group type: I4/mmm (139)
Calculated volume, Å³/f.u.: 77.1



No. 7
KYCd2 at its PBEsol-relaxed geometry, computed with meta-GGA SCAN.

Unit cell a=3.441 b=5.577 c=11.636 alpha=90.00 beta=90.00 gamma=90.00
Atoms (fractional coordinates):
K  0.000  0.000  0.000
K  0.500  0.500  0.500
Y  0.000  0.500  0.200
Y  0.500  0.000  0.700
Cd  0.000  0.000  0.466
Cd  0.000  0.500  0.764
Cd  0.500  0.000  0.264
Cd  0.500  0.500  0.966

Output
Total energy, eV/atom: -24.31
DOS at the Fermi energy, states/eV per cell: 4.601
Space-group type: Imm2 (44)
Calculated volume, Å³/f.u.: 111.6
Energy above the most stable polymorph in this dataset, eV per atom: 0.138



No. 8
CrSb2P at its PBEsol-relaxed geometry, computed with meta-GGA SCAN.

Unit cell a=7.657 b=3.255 c=6.461 alpha=90.00 beta=99.69 gamma=90.00
Atoms (fractional coordinates):
Cr  0.000  0.000  0.000
Cr  0.500  0.500  0.000
Sb  0.226  0.500  0.274
Sb  0.493  0.000  0.663
Sb  0.726  0.000  0.274
Sb  0.993  0.500  0.663
P  0.288  0.000  0.944
P  0.788  0.500  0.944

Output
Total energy, eV/atom: -25.72
DOS at the Fermi energy, states/eV per cell: 4.524
E_form (uncorrected), eV per atom: 0.110
Space-group type: Cm (8)
Calculated volume, Å³/f.u.: 79.4